1.
The following is a PBE-GGA calculation of a geometry-optimized TbNpIrRu structure, from the Alexandria database.

Cell: 4.8212 4.8212 4.8212 Å, 60.00 60.00 60.00°
Closest atoms and distances in Å follow each position.
Positions (direct):
Tb 0.0000 0.0000 0.0000  4 Ru 2.95, 4 Ir 2.95
Np 0.5000 0.5000 0.5000  4 Ru 2.95, 4 Ir 2.95
Ir 0.7500 0.7500 0.7500  4 Tb 2.95, 4 Np 2.95
Ru 0.2500 0.2500 0.2500  4 Tb 2.95, 4 Np 2.95

ΔH_f (0 K)   -125 kJ/mol of formula units
Magnetization   3.05 Bohr magnetons per cell



2.
The following is a PBE-GGA calculation of a geometry-optimized Hf3BiTe structure, from the Alexandria database.

Cell: 8.1784 5.8878 10.3401 Å, 90.00 108.05 90.00°
Closest atoms and distances in Å follow each position.
Positions (direct):
Hf 0.0291 0.1206 0.2873  3 Bi 3.03-3.11, 5 Hf 3.04-3.29, 2 Te 3.06-3.17
Hf 0.0291 0.3794 0.7873  3 Bi 3.03-3.11, 5 Hf 3.04-3.29, 2 Te 3.06-3.17
Hf 0.1693 0.6370 0.5165  3 Bi 2.98-3.19, 2 Te 2.99-3.09, 4 Hf 3.06-3.29
Hf 0.1693 0.8630 0.0165  3 Bi 2.98-3.19, 2 Te 2.99-3.09, 4 Hf 3.06-3.29
Hf 0.4008 0.1701 0.9025  3 Hf 2.95-3.15, 3 Te 3.05-3.14, 2 Bi 3.08-3.10
Hf 0.4008 0.3299 0.4025  3 Hf 2.95-3.15, 3 Te 3.05-3.14, 2 Bi 3.08-3.10
Hf 0.5992 0.6701 0.5975  3 Hf 2.95-3.15, 3 Te 3.05-3.14, 2 Bi 3.08-3.10
Hf 0.5992 0.8299 0.0975  3 Hf 2.95-3.15, 3 Te 3.05-3.14, 2 Bi 3.08-3.10
Hf 0.8307 0.1370 0.9835  3 Bi 2.98-3.19, 2 Te 2.99-3.09, 4 Hf 3.06-3.29
Hf 0.8307 0.3630 0.4835  3 Bi 2.98-3.19, 2 Te 2.99-3.09, 4 Hf 3.06-3.29
Hf 0.9709 0.6206 0.2127  3 Bi 3.03-3.11, 5 Hf 3.04-3.29, 2 Te 3.06-3.17
Hf 0.9709 0.8794 0.7127  3 Bi 3.03-3.11, 5 Hf 3.04-3.29, 2 Te 3.06-3.17
Bi 0.2067 0.1481 0.5951  8 Hf 2.98-3.19
Bi 0.2067 0.3519 0.0951  8 Hf 2.98-3.19
Bi 0.7933 0.6481 0.9049  8 Hf 2.98-3.19
Bi 0.7933 0.8519 0.4049  8 Hf 2.98-3.19
Te 0.3473 0.6728 0.8155  7 Hf 2.99-3.17
Te 0.3473 0.8272 0.3155  7 Hf 2.99-3.17
Te 0.6527 0.1728 0.6845  7 Hf 2.99-3.17
Te 0.6527 0.3272 0.1845  7 Hf 2.99-3.17

Magnetization   0.00 Bohr magnetons per cell
Uncorrected formation energy   -0.21 eV per atom



3.
The following is a PBE-GGA calculation of a geometry-optimized PrNd4Dy4 structure, from the Alexandria database.

Cell: 8.1052 8.1052 8.1052 Å, 95.74 95.74 143.14°
Closest atoms and distances in Å follow each position.
Positions (direct):
Pr 0.0000 0.0000 0.0000  8 Nd 3.64, 4 Dy 3.66
Nd 0.3322 0.3322 0.6644  4 Nd 3.60-3.65, 6 Dy 3.61-3.64, 2 Pr 3.64
Nd 0.3322 0.6678 0.0000  4 Nd 3.60-3.65, 6 Dy 3.61-3.64, 2 Pr 3.64
Nd 0.6678 0.3322 0.0000  4 Nd 3.60-3.65, 6 Dy 3.61-3.64, 2 Pr 3.64
Nd 0.6678 0.6678 0.3356  4 Nd 3.60-3.65, 6 Dy 3.61-3.64, 2 Pr 3.64
Dy 0.0000 0.3361 0.3361  5 Dy 3.56-3.59, 6 Nd 3.61-3.64, 1 Pr 3.66
Dy 0.0000 0.6639 0.6639  5 Dy 3.56-3.59, 6 Nd 3.61-3.64, 1 Pr 3.66
Dy 0.3361 0.0000 0.3361  5 Dy 3.56-3.59, 6 Nd 3.61-3.64, 1 Pr 3.66
Dy 0.6639 0.0000 0.6639  5 Dy 3.56-3.59, 6 Nd 3.61-3.64, 1 Pr 3.66

ΔH_f (0 K)   17 kJ/mol of formula units
Magnetization   0.00 Bohr magnetons per cell



Repeat the third record exactly.
The following is a PBE-GGA calculation of a geometry-optimized PrNd4Dy4 structure, from the Alexandria database.

Cell: 8.1052 8.1052 8.1052 Å, 95.74 95.74 143.14°
Closest atoms and distances in Å follow each position.
Positions (direct):
Pr 0.0000 0.0000 0.0000  8 Nd 3.64, 4 Dy 3.66
Nd 0.3322 0.3322 0.6644  4 Nd 3.60-3.65, 6 Dy 3.61-3.64, 2 Pr 3.64
Nd 0.3322 0.6678 0.0000  4 Nd 3.60-3.65, 6 Dy 3.61-3.64, 2 Pr 3.64
Nd 0.6678 0.3322 0.0000  4 Nd 3.60-3.65, 6 Dy 3.61-3.64, 2 Pr 3.64
Nd 0.6678 0.6678 0.3356  4 Nd 3.60-3.65, 6 Dy 3.61-3.64, 2 Pr 3.64
Dy 0.0000 0.3361 0.3361  5 Dy 3.56-3.59, 6 Nd 3.61-3.64, 1 Pr 3.66
Dy 0.0000 0.6639 0.6639  5 Dy 3.56-3.59, 6 Nd 3.61-3.64, 1 Pr 3.66
Dy 0.3361 0.0000 0.3361  5 Dy 3.56-3.59, 6 Nd 3.61-3.64, 1 Pr 3.66
Dy 0.6639 0.0000 0.6639  5 Dy 3.56-3.59, 6 Nd 3.61-3.64, 1 Pr 3.66

ΔH_f (0 K)   17 kJ/mol of formula units
Magnetization   0.00 Bohr magnetons per cell



Question: What is the magnetization in the second record?
Answer: 0.00 Bohr magnetons per cell



Question: Among the records above, which one has the highest magnetization?
Answer: TbNpIrRu